# SrLiHf2Mn

A geometry-optimized SrLiHf2Mn structure (PBE-GGA, Alexandria).

Summary:
- Energy of formation: 2.193 eV/atom
- DOS at the Fermi energy: 7.8 states/eV per cell
- Energy above the lowest structure with this stoichiometry: 0.6276 eV per atom

```
5
Lattice="5.2366 0.0000 0.0000 0.0000 5.2366 0.0000 0.0000 0.0000 4.4414" Properties=species:S:1:pos:R:3 pbc="T T T"
Sr 0.0000 0.0000 0.0000
Li 2.6183 2.6183 2.2207
Hf 0.0000 2.6183 0.0000
Hf 2.6183 0.0000 0.0000
Mn 0.0000 0.0000 2.2207
```



# LiHfTaMn2

A geometry-optimized LiHfTaMn2 structure (PBE-GGA, Alexandria).

Summary:
- Energy of formation: 1.850 eV/atom
- DOS at the Fermi energy: 5.7 states/eV per cell

```
5
Lattice="4.5080 0.0000 0.0000 0.0000 4.5080 0.0000 0.0000 0.0000 5.0110" Properties=species:S:1:pos:R:3 pbc="T T T"
Li 0.0000 0.0000 0.0000
Hf 2.2540 2.2540 2.5055
Ta 2.2540 2.2540 0.0000
Mn 0.0000 2.2540 2.5055
Mn 2.2540 0.0000 2.5055
```



# LiHfMnTe2

A geometry-optimized LiHfMnTe2 structure (PBE-GGA, Alexandria).

Summary:
- ΔE_f (raw): 1.9 eV/f.u.
- DOS at the Fermi energy: 4.7 states/eV per cell

```
5
Lattice="5.1558 0.0000 0.0000 0.0000 5.1558 0.0000 0.0000 0.0000 4.2411" Properties=species:S:1:pos:R:3 pbc="T T T"
Li 0.0000 0.0000 0.0000
Hf 2.5779 2.5779 0.0000
Mn 0.0000 0.0000 2.1206
Te 0.0000 2.5779 2.1206
Te 2.5779 0.0000 2.1206
```



# Li2HfMnTe4

A geometry-optimized Li2HfMnTe4 structure (PBE-GGA, Alexandria).

Summary:
- ΔE_f (raw): -5.4 eV/f.u.
- DOS at the Fermi energy: 1.5 states/eV per cell

```
8
Lattice="7.1999 0.0000 0.0000 0.0000 4.0748 0.0000 -2.3911 0.0000 6.9390" Properties=species:S:1:pos:R:3 pbc="T T T"
Li 0.0000 0.0000 0.0000
Li 3.6000 2.0374 0.0000
Hf -1.1956 2.0374 3.4695
Mn 2.4044 0.0000 3.4695
Te -0.0236 0.0000 5.1746
Te 1.2236 2.0374 1.8514
Te 3.5853 2.0374 5.0876
Te 4.8324 0.0000 1.7645
```



# LiTmHfMn

A geometry-optimized LiTmHfMn structure (PBE-GGA, Alexandria).

Summary:
- Energy of formation: 0.132 eV/atom
- DOS at the Fermi energy: 4.0 states/eV per cell

```
4
Lattice="0.0000 3.3116 3.3116 3.3116 0.0000 3.3116 3.3116 3.3116 0.0000" Properties=species:S:1:pos:R:3 pbc="T T T"
Li 0.0000 0.0000 0.0000
Tm 4.9675 4.9675 4.9675
Hf 1.6558 1.6558 1.6558
Mn 3.3116 3.3116 3.3116
```



# LiHfMnV2

A geometry-optimized LiHfMnV2 structure (PBE-GGA, Alexandria).

Summary:
- Energy of formation: 0.683 eV/atom
- DOS at the Fermi energy: 5.9 states/eV per cell

```
5
Lattice="4.3527 0.0000 0.0000 0.0000 4.3527 0.0000 0.0000 0.0000 4.8737" Properties=species:S:1:pos:R:3 pbc="T T T"
Li 0.0000 0.0000 0.0000
Hf 2.1764 2.1764 0.0000
Mn 2.1764 2.1764 2.4368
V 0.0000 2.1764 2.4368
V 2.1764 0.0000 2.4368
```



# LiHfMo3

A geometry-optimized LiHfMo3 structure (PBE-GGA, Alexandria).

Summary:
- Energy of formation: 1.075 eV/atom
- DOS at the Fermi energy: 6.6 states/eV per cell
- Energy above the lowest structure with this stoichiometry: 0.0000 eV per atom

```
5
Lattice="4.3449 0.0000 0.0000 0.0000 4.3449 0.0000 0.0000 0.0000 4.3449" Properties=species:S:1:pos:R:3 pbc="T T T"
Li 0.0000 0.0000 0.0000
Hf 2.1725 2.1725 2.1725
Mo 0.0000 0.0000 2.1725
Mo 0.0000 2.1725 0.0000
Mo 2.1725 0.0000 0.0000
```



# Li2HfMo

A geometry-optimized Li2HfMo structure (PBE-GGA, Alexandria).

Summary:
- Energy of formation: 0.565 eV/atom
- DOS at the Fermi energy: 6.6 states/eV per cell
- Energy above the lowest structure with this stoichiometry: 0.0000 eV per atom

```
8
Lattice="-1.8639 1.8639 10.7974 1.8639 -1.8639 10.7974 1.8639 1.8639 -10.7974" Properties=species:S:1:pos:R:3 pbc="T T T"
Li 2.7958 0.8544 -2.6994
Li 0.8544 0.9319 2.6994
Li -0.9319 1.0095 8.0981
Li 1.0095 0.9319 13.4968
Hf 1.8639 0.0000 5.3987
Hf 0.0000 0.0000 10.7974
Mo 0.0000 0.0000 0.0000
Mo 0.0000 1.8639 5.3987
```



# Li3HfMo

A geometry-optimized Li3HfMo structure (PBE-GGA, Alexandria).

Summary:
- Energy of formation: 1.370 eV/atom
- DOS at the Fermi energy: 3.1 states/eV per cell
- Energy above the lowest structure with this stoichiometry: 0.0000 eV per atom

```
5
Lattice="4.5450 0.0000 0.0000 0.0000 4.5450 0.0000 0.0000 0.0000 4.5450" Properties=species:S:1:pos:R:3 pbc="T T T"
Li 0.0000 0.0000 2.2725
Li 0.0000 2.2725 0.0000
Li 2.2725 0.0000 0.0000
Hf 2.2725 2.2725 2.2725
Mo 0.0000 0.0000 0.0000
```



# LiHf2Mo

A geometry-optimized LiHf2Mo structure (PBE-GGA, Alexandria).

Summary:
- Energy of formation: 0.808 eV/atom
- DOS at the Fermi energy: 9.4 states/eV per cell
- Energy above the lowest structure with this stoichiometry: 0.7883 eV per atom

```
8
Lattice="-2.0333 2.0333 9.5186 2.0333 -2.0333 9.5186 2.0333 2.0333 -9.5186" Properties=species:S:1:pos:R:3 pbc="T T T"
Li 0.0000 0.0000 0.0000
Li 0.0000 2.0333 4.7593
Hf 1.0166 -0.9722 7.1389
Hf 1.0611 1.0166 2.3796
Hf 1.0166 3.0055 -2.3796
Hf 0.9722 1.0166 11.8982
Mo 2.0333 0.0000 4.7593
Mo 0.0000 0.0000 9.5186
```



# LiHfMo3

A geometry-optimized LiHfMo3 structure (PBE-GGA, Alexandria).

Summary:
- Energy of formation: 1.928 eV/atom
- DOS at the Fermi energy: 5.1 states/eV per cell
- Energy above the lowest structure with this stoichiometry: 0.8529 eV per atom

```
5
Lattice="4.8355 0.0000 0.0000 0.0000 4.8355 0.0000 0.0000 0.0000 4.8355" Properties=species:S:1:pos:R:3 pbc="T T T"
Li 0.0000 0.0000 0.0000
Hf 2.4177 2.4177 2.4177
Mo 0.0000 2.4177 2.4177
Mo 2.4177 0.0000 2.4177
Mo 2.4177 2.4177 0.0000
```



# LiHf2Mo

A geometry-optimized LiHf2Mo structure (PBE-GGA, Alexandria).

Summary:
- Energy of formation: 0.073 eV/atom
- DOS at the Fermi energy: 4.0 states/eV per cell
- Energy above the lowest structure with this stoichiometry: 0.0536 eV per atom

```
4
Lattice="3.3764 0.0000 0.0000 0.0000 3.3764 0.0000 0.0000 0.0000 6.6712" Properties=species:S:1:pos:R:3 pbc="T T T"
Li 0.0000 0.0000 0.0000
Hf 1.6882 1.6882 1.8076
Hf 1.6882 1.6882 4.8637
Mo 0.0000 0.0000 3.3356
```



# LiHf2Mo

A geometry-optimized LiHf2Mo structure (PBE-GGA, Alexandria).

Summary:
- Energy of formation: 0.020 eV/atom
- DOS at the Fermi energy: 3.0 states/eV per cell
- Energy above the lowest structure with this stoichiometry: 0.0000 eV per atom

```
4
Lattice="0.0000 3.3083 3.3083 3.3083 0.0000 3.3083 3.3083 3.3083 0.0000" Properties=species:S:1:pos:R:3 pbc="T T T"
Li 0.0000 0.0000 0.0000
Hf 1.6541 1.6541 1.6541
Hf 4.9624 4.9624 4.9624
Mo 3.3083 3.3083 3.3083
```